Record 1
SnHg2Br6 | PBE | optimized geometry

The structure in extended XYZ format:
```
9
Lattice="4.302 0.000 0.000 1.102 7.572 0.000 0.540 2.081 10.190" Properties=species:S:1:pos:R:3 pbc="T T T"
Sn 0.000 0.000 0.000
Hg 2.207 3.848 3.267
Hg 3.736 5.805 6.922
Br 0.973 4.679 8.587
Br 2.031 6.644 5.279
Br 2.147 1.154 1.696
Br 3.796 8.498 8.493
Br 3.913 3.009 4.911
Br 4.971 4.974 1.603
```

Summary:
Calculated density ... 5.0 g cm⁻³
Polymorph energy (0 for the lowest one) ... 0.03 eV per formula unit
Formation energy without anion corrections ... -0.53 eV per atom
Magnetization ... 0.0 μB/cell


Record 2
Sn2HgBr4 | PBE | optimized geometry

The structure in extended XYZ format:
```
14
Lattice="8.405 0.000 0.000 -0.290 8.400 0.000 -2.410 -2.487 7.809" Properties=species:S:1:pos:R:3 pbc="T T T"
Sn 0.000 0.000 0.000
Sn -1.292 6.955 3.903
Sn -0.547 2.927 5.241
Sn 4.352 0.610 1.337
Hg 3.274 3.459 2.020
Hg 2.341 1.956 5.927
Br -0.508 -0.503 6.575
Br 0.922 0.521 2.671
Br 1.875 6.243 0.060
Br 0.944 5.027 4.232
Br 5.836 6.683 0.970
Br 5.171 0.645 3.967
Br 6.403 2.172 0.336
Br 5.473 4.621 4.872
```

Summary:
Calculated density ... 4.6 g cm⁻³
Formation energy without anion corrections ... -0.63 eV per atom
Magnetization ... 0.0 μB/cell


Record 3
Sn2HgBr6 | PBE | optimized geometry

The structure in extended XYZ format:
```
18
Lattice="6.150 -7.230 0.000 6.150 7.230 0.000 -1.052 0.000 7.425" Properties=species:S:1:pos:R:3 pbc="T T T"
Sn 1.755 1.703 1.166
Sn 1.229 -1.703 4.878
Sn 10.020 1.703 2.547
Sn 9.494 -1.703 6.260
Hg 5.361 0.947 5.569
Hg 5.887 -0.947 1.856
Br 4.627 5.522 3.804
Br 3.276 2.790 6.322
Br 6.096 5.522 7.334
Br 4.189 1.046 2.935
Br 3.663 -1.046 6.647
Br 7.447 2.790 4.816
Br 3.802 -2.790 2.609
Br 7.586 1.046 0.778
Br 7.060 -1.046 4.491
Br 5.153 -5.522 0.092
Br 7.973 -2.790 1.104
Br 6.622 -5.522 3.621
```

Summary:
Calculated density ... 4.6 g cm⁻³
Polymorph energy (0 for the lowest one) ... 0.28 eV per formula unit
Formation energy without anion corrections ... -0.61 eV per atom
Magnetization ... 0.0 μB/cell